This record from Alexandria describes a geometry-optimized YAlZnS4 structure. The functional is PBE.

Cell lengths 7.457, 7.500, 7.500 Å; angles 60.29, 60.19, 60.19 degrees
Element x y z (fractional)
Y  0.000  0.000  0.000
Y  0.000  0.500  0.500
S  0.255  0.217  0.272
S  0.745  0.783  0.728
S  0.272  0.232  0.732
S  0.236  0.768  0.268
S  0.255  0.772  0.717
S  0.764  0.232  0.732
S  0.745  0.228  0.283
S  0.728  0.768  0.268
Zn  0.622  0.628  0.128
Zn  0.378  0.372  0.872
Al  0.000  0.000  0.500
Al  0.500  0.000  0.500

Summary:
Formation energy without anion corrections   -1.261 eV per atom
ρ   3.45 g/cm³
SG   Imma (74)


This record from Alexandria describes a geometry-optimized Al2Zn2S5 structure. The functional is PBE.

Cell lengths 3.727, 3.727, 14.941 Å; angles 82.83, 82.83, 60.00 degrees
Element x y z (fractional)
Al  0.104  0.104  0.689
Al  0.925  0.925  0.225
S  0.744  0.744  0.767
S  0.004  0.004  0.989
S  0.467  0.467  0.599
S  0.609  0.609  0.172
S  0.873  0.873  0.380
Zn  0.688  0.688  0.936
Zn  0.518  0.518  0.446

Summary:
Formation energy without anion corrections   -0.858 eV per atom
Fermi-level density of states   0.00 states/eV/cell
ρ   3.22 g/cm³
SG   R3m (160)


This record from Alexandria describes a geometry-optimized Al2ZnS4 structure. The functional is PBE.

Cell lengths 3.687, 3.687, 13.072 Å; angles 81.89, 81.89, 60.00 degrees
Element x y z (fractional)
Zn  0.000  0.000  0.000
S  0.299  0.299  0.102
S  0.884  0.884  0.347
S  0.701  0.701  0.898
S  0.116  0.116  0.653
Al  0.243  0.243  0.271
Al  0.757  0.757  0.729

Summary:
Formation energy without anion corrections   -0.913 eV per atom
Fermi-level density of states   0.00 states/eV/cell
ρ   2.71 g/cm³
SG   R-3m (166)


M_tot per entry: 0.0; 0.0; 0.0 μB per formula unit